The following is a GGA-PBE calculation of crystalline Ce2Cu3Si at its relaxed geometry, from Alexandria via LeMat-Bulk.

As for the total magnetization: 0.1446 μB/atom. The calculated total energy comes out at -31.5 eV per formula unit. The value obtained for the density of states at the Fermi level is 8.627 states/eV/f.u. The value obtained for the uncorrected formation energy is -0.325 eV per atom. The symmetry is No. 69.

```
Ce2Cu3Si
1.0
5.307 -0.425 -1.710
-1.325 5.156 -1.710
0.338 0.402 8.248
Ce Cu Si
4 6 2
direct
0.250 0.750 0.500
0.770 0.770 0.000
0.750 0.250 0.500
0.230 0.230 0.000
0.342 0.827 0.169
0.173 0.658 0.831
0.658 0.173 0.831
0.827 0.342 0.169
0.170 0.170 0.340
0.830 0.830 0.660
0.665 0.665 0.329
0.335 0.335 0.671
```